Run w
KNiSb3 PBE-GGA relaxed; DOS(E_F) = 3.04 states/eV/atom; crystal system = cubic
1.0
5.7588 0.0000 0.0000
0.0000 5.7588 0.0000
0.0000 0.0000 5.7588
K Ni Sb
1 1 3
Cartesian
0.0000 0.0000 0.0000
2.8794 2.8794 2.8794
0.0000 0.0000 2.8794
0.0000 2.8794 0.0000
2.8794 0.0000 0.0000

=====

Run x
KNiSb3 PBE-GGA relaxed; DOS(E_F) = 0.50 states/eV/atom; crystal system = monoclinic
1.0
6.7946 0.0000 0.0000
0.0000 6.0646 0.0000
-0.0059 0.0000 7.0101
K Ni Sb
2 2 6
Cartesian
1.6943 0.0000 1.0077
5.0944 3.0323 6.0024
1.6975 1.7140 3.9922
5.0913 4.7463 3.0179
0.0546 5.8936 4.5299
1.6972 3.6540 5.5711
3.3392 5.8959 4.5292
3.4495 2.8636 2.4809
5.0915 0.6217 1.4390
6.7341 2.8613 2.4802

=====

Which one is most stable, and which one is least stable? run x is the most stable of them, while run w is the least stable.

=====

Run w
KNi3Sb PBE-GGA relaxed; DOS(E_F) = 0.58 states/eV/atom; crystal system = cubic
1.0
4.8476 0.0000 0.0000
0.0000 4.8476 0.0000
0.0000 0.0000 4.8476
K Ni Sb
1 3 1
Cartesian
0.0000 0.0000 0.0000
0.0000 2.4238 2.4238
2.4238 0.0000 2.4238
2.4238 2.4238 0.0000
2.4238 2.4238 2.4238

=====

Run x
KNi3Sb PBE-GGA relaxed; DOS(E_F) = 1.06 states/eV/atom; crystal system = cubic
1.0
4.5661 0.0000 0.0000
0.0000 4.5661 0.0000
0.0000 0.0000 4.5661
K Ni Sb
1 3 1
Cartesian
0.0000 0.0000 0.0000
0.0000 0.0000 2.2831
0.0000 2.2831 0.0000
2.2831 0.0000 0.0000
2.2831 2.2831 2.2831

=====

Which one is most stable, and which one is least stable? run w is the most stable of them, while run x is the least stable.

=====

Run w
KNiSbTe2 PBE-GGA relaxed; DOS(E_F) = 2.97 states/eV/atom; crystal system = tetragonal
1.0
5.9419 0.0000 0.0000
0.0000 5.9419 0.0000
0.0000 0.0000 5.8212
K Ni Sb Te
1 1 1 2
Cartesian
0.0000 0.0000 0.0000
2.9710 2.9710 2.9106
0.0000 0.0000 2.9106
0.0000 2.9710 0.0000
2.9710 0.0000 0.0000

=====

Run x
KNiSbTe2 PBE-GGA relaxed; DOS(E_F) = 0.70 states/eV/atom; crystal system = tetragonal
1.0
5.4995 0.0000 0.0000
0.0000 5.4995 0.0000
0.0000 0.0000 4.8140
K Ni Sb Te
1 1 1 2
Cartesian
0.0000 0.0000 0.0000
2.7497 2.7497 2.4070
2.7497 2.7497 0.0000
0.0000 2.7497 2.4070
2.7497 0.0000 2.4070

=====

Which one is most stable, and which one is least stable? run x is the most stable of them, while run w is the least stable.

=====

Run w
KScNi2 PBE-GGA relaxed; DOS(E_F) = 0.30 states/eV/atom; crystal system = cubic
1.0
0.0000 3.3543 3.3543
3.3543 0.0000 3.3543
3.3543 3.3543 0.0000
K Sc Ni
1 1 2
Cartesian
0.0000 0.0000 0.0000
3.3543 3.3543 3.3543
1.6771 1.6771 1.6771
5.0314 5.0314 5.0314

=====

Run x
KScNi2 PBE-GGA relaxed; DOS(E_F) = 0.71 states/eV/atom; crystal system = cubic
1.0
0.0000 3.2758 3.2758
3.2758 0.0000 3.2758
3.2758 3.2758 0.0000
K Sc Ni
1 1 2
Cartesian
0.0000 0.0000 0.0000
1.6379 1.6379 1.6379
3.2758 3.2758 3.2758
4.9137 4.9137 4.9137

=====

Which one is most stable, and which one is least stable? run w is the most stable of them, while run x is the least stable.

=====

Run w
KScNi2 PBE-GGA relaxed; DOS(E_F) = 0.30 states/eV/atom; crystal system = tetragonal
1.0
-3.6882 3.6882 3.0053
3.6882 -3.6882 3.0053
3.6882 3.6882 -3.0053
K Sc Ni
2 2 4
Cartesian
0.0000 0.0000 0.0000
0.0000 3.6882 1.5026
3.6882 0.0000 1.5026
0.0000 0.0000 3.0053
1.8441 -1.5551 2.2540
2.1332 1.8441 0.7513
1.8441 5.2433 -0.7513
1.5551 1.8441 3.7566

=====

Run x
KScNi2 PBE-GGA relaxed; DOS(E_F) = 0.84 states/eV/atom; crystal system = tetragonal
1.0
4.9764 0.0000 0.0000
0.0000 4.9764 0.0000
0.0000 0.0000 3.0390
K Sc Ni
1 1 2
Cartesian
0.0000 0.0000 0.0000
2.4882 2.4882 0.0000
0.0000 2.4882 1.5195
2.4882 0.0000 1.5195

=====

Which one is most stable, and which one is least stable? run x is the most stable of them, while run w is the least stable.

=====

Run w
KScNi2 PBE-GGA relaxed; DOS(E_F) = 1.00 states/eV/atom; crystal system = tetragonal
1.0
3.2540 0.0000 0.0000
0.0000 3.2540 0.0000
0.0000 0.0000 8.3907
K Sc Ni
1 1 2
Cartesian
0.0000 0.0000 0.0000
1.6270 1.6270 4.8222
0.0000 0.0000 3.3489
1.6270 1.6270 2.4952

=====

Run x
KScNi2 PBE-GGA relaxed; DOS(E_F) = 0.73 states/eV/atom; crystal system = monoclinic
1.0
3.5995 0.0000 0.0000
0.0000 3.8943 0.0000
-1.7899 0.0000 6.8496
K Sc Ni
1 1 2
Cartesian
0.0000 0.0000 0.0000
-0.0049 1.9471 3.6787
1.7970 1.9471 1.9496
1.7924 0.0000 3.2302

=====

Run y
KScNi2 PBE-GGA relaxed; DOS(E_F) = 0.74 states/eV/atom; crystal system = monoclinic
1.0
4.3076 -1.5953 0.0000
4.3076 1.5953 0.0000
-1.7471 0.0000 7.0420
K Sc Ni
1 1 2
Cartesian
0.0000 0.0000 0.0000
3.4341 0.0000 3.5210
0.9035 0.0000 4.3591
5.9646 0.0000 2.6830

=====

Which one is most stable, and which one is least stable? run x is the most stable of them, while run y is the least stable.

=====

Run w
KScNi2 PBE-GGA relaxed; DOS(E_F) = 0.93 states/eV/atom; crystal system = trigonal
1.0
1.6753 0.9672 8.5008
-1.6753 0.9672 8.5008
0.0000 -1.9345 8.5008
K Sc Ni
1 1 2
Cartesian
0.0000 0.0000 0.0000
0.0000 0.0000 12.7512
0.0000 0.0000 5.9429
0.0000 0.0000 19.5595

=====

Run x
KScNi2 PBE-GGA relaxed; DOS(E_F) = 0.64 states/eV/atom; crystal system = monoclinic
1.0
4.2586 -1.5267 0.0000
4.2586 1.5267 0.0000
-3.4760 0.0000 7.2611
K Sc Ni
1 1 2
Cartesian
0.0000 0.0000 0.0000
4.8765 0.0000 3.5838
-1.1940 0.0000 4.5163
2.4272 0.0000 2.6621

=====

Which one is most stable, and which one is least stable? run x is the most stable of them, while run w is the least stable.

=====

Run w
KScNi PBE-GGA relaxed; DOS(E_F) = 0.21 states/eV/atom; crystal system = cubic
1.0
0.0000 3.3835 3.3835
3.3835 0.0000 3.3835
3.3835 3.3835 0.0000
K Sc Ni
1 1 1
Cartesian
0.0000 0.0000 0.0000
3.3835 3.3835 3.3835
1.6918 1.6918 1.6918

=====

Run x
KScNi PBE-GGA relaxed; DOS(E_F) = 0.51 states/eV/atom; crystal system = trigonal
1.0
3.6280 0.0000 0.0000
-1.8140 3.1419 0.0000
0.0000 0.0000 7.4360
K Sc Ni
1 1 1
Cartesian
0.0000 0.0000 0.0000
0.0000 2.0946 3.8133
1.8140 1.0473 2.4626

=====

Which one is most stable, and which one is least stable? run x is the most stable of them, while run w is the least stable.

=====

Run w
KScNi PBE-GGA relaxed; DOS(E_F) = 1.23 states/eV/atom; crystal system = tetragonal
1.0
-1.6890 1.6890 7.1025
1.6890 -1.6890 7.1025
1.6890 1.6890 -7.1025
K Sc Ni
1 1 1
Cartesian
0.0000 0.0000 0.0000
0.0000 0.0000 3.5780
0.0000 0.0000 9.6365

=====

Run x
KScNi PBE-GGA relaxed; DOS(E_F) = 0.76 states/eV/atom; crystal system = cubic
1.0
0.0000 3.3380 3.3380
3.3380 0.0000 3.3380
3.3380 3.3380 0.0000
K Sc Ni
1 1 1
Cartesian
0.0000 0.0000 0.0000
1.6690 1.6690 1.6690
5.0070 5.0070 5.0070

=====

Which one is most stable, and which one is least stable? run w is the most stable of them, while run x is the least stable.

=====

Run w
KSc3Ni PBE-GGA relaxed; DOS(E_F) = 2.79 states/eV/atom; crystal system = cubic
1.0
5.1205 0.0000 0.0000
0.0000 5.1205 0.0000
0.0000 0.0000 5.1205
K Sc Ni
1 3 1
Cartesian
0.0000 0.0000 0.0000
0.0000 2.5602 2.5602
2.5602 0.0000 2.5602
2.5602 2.5602 0.0000
2.5602 2.5602 2.5602

=====

Run x
KSc3Ni PBE-GGA relaxed; DOS(E_F) = 0.54 states/eV/atom; crystal system = cubic
1.0
4.7545 0.0000 0.0000
0.0000 4.7545 0.0000
0.0000 0.0000 4.7545
K Sc Ni
1 3 1
Cartesian
0.0000 0.0000 0.0000
0.0000 0.0000 2.3773
0.0000 2.3773 0.0000
2.3773 0.0000 0.0000
2.3773 2.3773 2.3773

=====

Which one is most stable, and which one is least stable? run w is the most stable of them, while run x is the least stable.

=====

Run w
K2Ni2Se PBE-GGA relaxed; DOS(E_F) = 1.46 states/eV/atom; crystal system = tetragonal
1.0
9.5589 0.0000 0.0000
0.0000 9.5589 0.0000
0.0000 0.0000 2.8129
K Ni Se
4 4 2
Cartesian
1.9366 2.8428 0.0000
2.8428 7.6223 0.0000
6.7161 1.9366 0.0000
7.6223 6.7161 0.0000
0.7663 5.5457 1.4064
4.0132 0.7663 1.4064
5.5457 8.7927 1.4064
8.7927 4.0132 1.4064
0.0000 0.0000 0.0000
4.7795 4.7795 0.0000

=====

Run x
K2Ni2Se PBE-GGA relaxed; DOS(E_F) = 1.01 states/eV/atom; crystal system = tetragonal
1.0
-1.6879 1.6879 10.3305
1.6879 -1.6879 10.3305
1.6879 1.6879 -10.3305
K Ni Se
2 2 1
Cartesian
0.0000 0.0000 2.2257
0.0000 0.0000 18.4353
1.6879 0.0000 5.1653
0.0000 1.6879 5.1653
0.0000 0.0000 10.3305

=====

Which one is most stable, and which one is least stable? run x is the most stable of them, while run w is the least stable.

=====

Run w
KNi3Se PBE-GGA relaxed; DOS(E_F) = 1.20 states/eV/atom; crystal system = cubic
1.0
4.5680 0.0000 0.0000
0.0000 4.5680 0.0000
0.0000 0.0000 4.5680
K Ni Se
1 3 1
Cartesian
0.0000 0.0000 0.0000
0.0000 0.0000 2.2840
0.0000 2.2840 0.0000
2.2840 0.0000 0.0000
2.2840 2.2840 2.2840

=====

Run x
KNi3Se PBE-GGA relaxed; DOS(E_F) = 1.62 states/eV/atom; crystal system = cubic
1.0
4.5420 0.0000 0.0000
0.0000 4.5420 0.0000
0.0000 0.0000 4.5420
K Ni Se
1 3 1
Cartesian
0.0000 0.0000 0.0000
0.0000 2.2710 2.2710
2.2710 0.0000 2.2710
2.2710 2.2710 0.0000
2.2710 2.2710 2.2710

=====

Which one is most stable, and which one is least stable? run x is the most stable of them, while run w is the least stable.

=====

Run w
KSiNi PBE-GGA relaxed; DOS(E_F) = 0.68 states/eV/atom; crystal system = cubic
1.0
0.0000 3.1961 3.1961
3.1961 0.0000 3.1961
3.1961 3.1961 0.0000
K Si Ni
1 1 1
Cartesian
0.0000 0.0000 0.0000
3.1961 3.1961 3.1961
1.5981 1.5981 1.5981

=====

Run x
KSiNi PBE-GGA relaxed; DOS(E_F) = 1.06 states/eV/atom; crystal system = cubic
1.0
0.0000 3.4132 3.4132
3.4132 0.0000 3.4132
3.4132 3.4132 0.0000
K Si Ni
1 1 1
Cartesian
0.0000 0.0000 0.0000
5.1198 5.1198 5.1198
1.7066 1.7066 1.7066

=====

Which one is most stable, and which one is least stable? run w is the most stable of them, while run x is the least stable.

=====

Run w
KSiNi PBE-GGA relaxed; DOS(E_F) = 1.01 states/eV/atom; crystal system = cubic
1.0
0.0000 3.2744 3.2744
3.2744 0.0000 3.2744
3.2744 3.2744 0.0000
K Si Ni
1 1 1
Cartesian
0.0000 0.0000 0.0000
4.9115 4.9115 4.9115
3.2744 3.2744 3.2744

=====

Run x
KSiNi PBE-GGA relaxed; DOS(E_F) = 0.43 states/eV/atom; crystal system = tetragonal
1.0
4.0872 0.0000 0.0000
0.0000 4.0872 0.0000
0.0000 0.0000 9.9478
K Si Ni
2 2 2
Cartesian
1.0218 1.0218 2.1290
3.0654 3.0654 7.8188
1.0218 1.0218 5.9791
3.0654 3.0654 3.9687
1.0218 3.0654 4.9739
3.0654 1.0218 4.9739

=====

Which one is most stable, and which one is least stable? run x is the most stable of them, while run w is the least stable.